NaPd2Pb | PBE-GGA | optimized geometry

a = 4.8849 Å, b = 6.1471 Å, c = 5.0136 Å
α = 90.00°, β = 90.00°, γ = 90.00°
Fractional coordinates of all 8 atoms:
1 Na 0.2500 0.2500 0.2090
2 Na 0.7500 0.7500 0.7910
3 Pd 0.2500 0.0014 0.6989
4 Pd 0.2500 0.4986 0.6989
5 Pd 0.7500 0.5014 0.3011
6 Pd 0.7500 0.9986 0.3011
7 Pb 0.2500 0.7500 0.2152
8 Pb 0.7500 0.2500 0.7848

Values from the calculation:
**Total DFT energy (no corrections)**: -32.61 eV/cell
**Space-group type**: Pmmn (59)
**Total moment**: 0.000 μB/f.u.
**Calculated formation energy**: -223 meV/atom